(1)
Na3AsI6 | PBE-GGA | relaxed

Summary:
The value obtained for the calculated total energy is -25.69 eV per formula unit. The crystal system is monoclinic. For the uncorrected formation energy, the calculation gives -75.1 kJ per mole of atoms.

Lattice parameters (Å, degrees): 7.7168 8.2785 11.5286 90.00 89.22 90.00
Sites, in units of the cell vectors:
Na 0.5414 0.8979 0.7622
Na 0.5000 0.5000 0.0000
Na 0.4586 0.1021 0.2378
Na 0.0414 0.6021 0.2622
Na 0.0000 0.0000 0.5000
Na 0.9586 0.3979 0.7378
As 0.5000 0.5000 0.5000
As 0.0000 0.0000 0.0000
I 0.6957 0.1771 0.9321
I 0.6626 0.2024 0.5750
I 0.6457 0.4495 0.2679
I 0.3543 0.5505 0.7321
I 0.3374 0.7976 0.4250
I 0.3043 0.8229 0.0679
I 0.1957 0.3229 0.4321
I 0.1626 0.2976 0.0750
I 0.1457 0.0505 0.7679
I 0.8543 0.9495 0.2321
I 0.8374 0.7024 0.9250
I 0.8043 0.6771 0.5679

---

(2)
LiHo2Ta2O8 | PBE-GGA | relaxed

Summary:
For the energy above the most stable polymorph in this dataset, the calculation gives 0.0 meV/atom. The value obtained for the calculated total energy is -112.68 eV per formula unit. The crystal system is monoclinic. For the uncorrected formation energy, the calculation gives -283.8 kJ per mole of atoms.

Lattice parameters (Å, degrees): 6.4699 6.4699 5.2568 70.54 70.54 116.32
Last column: magnetic moment on the atom in μB.
Sites, in units of the cell vectors:
Li 0.6656 0.3344 0.5000  0.02
Ho 0.6284 0.3716 0.0000  0.04
Ho 0.3586 0.6414 0.5000  0.02
Ta 0.0902 0.9098 0.0000  0.33
Ta 0.9147 0.0853 0.5000  0.19
O 0.2895 0.2279 0.5193  0.01
O 0.7721 0.7105 0.4807  0.01
O 0.7253 0.7878 0.9717  0.01
O 0.2122 0.2747 0.0283  0.01
O 0.0661 0.6499 0.8861  0.02
O 0.3501 0.9339 0.1139  0.02
O 0.9246 0.3472 0.6060  0.00
O 0.6528 0.0754 0.3940  0.00

---

(3)
Ca2Rh3 | PBE-GGA | relaxed

Summary:
The value obtained for the calculated total energy is -27.77 eV per formula unit. The crystal system is orthorhombic.

Lattice parameters (Å, degrees): 5.6492 5.6492 7.7825 90.00 90.00 56.68
Sites, in units of the cell vectors:
Ca 0.1551 0.1551 0.6005
Ca 0.8449 0.8449 0.3995
Ca 0.3449 0.3449 0.1005
Ca 0.6551 0.6551 0.8995
Rh 0.5000 0.5000 0.5000
Rh 0.0000 0.0000 0.0000
Rh 0.6551 0.1551 0.7500
Rh 0.8449 0.3449 0.2500
Rh 0.1551 0.6551 0.7500
Rh 0.3449 0.8449 0.2500

---

(4)
La2AsRh3 | PBE-GGA | relaxed

Summary:
The value obtained for the calculated total energy is -41.69 eV per formula unit. The crystal system is trigonal.

Lattice parameters (Å, degrees): 5.2377 5.2377 5.2377 66.14 66.14 66.14
Sites, in units of the cell vectors:
La 0.3736 0.3736 0.3736
La 0.6264 0.6264 0.6264
As 0.0000 0.0000 0.0000
Rh 0.0000 0.0000 0.5000
Rh 0.5000 0.0000 0.0000
Rh 0.0000 0.5000 0.0000

---

(5)
Ba2ZrOs | PBE-GGA | relaxed

Summary:
For the energy above the most stable polymorph in this dataset, the calculation gives 833.1 meV/atom. The value obtained for the calculated total energy is -19.47 eV per formula unit. The crystal system is monoclinic.

Lattice parameters (Å, degrees): 5.3937 3.5553 6.3421 68.56 90.00 90.00
Sites, in units of the cell vectors:
Ba 0.0000 0.0960 0.0146
Ba 0.0000 0.4040 0.4854
Os 0.5000 0.2500 0.2500
Zr 0.5000 0.7500 0.7500

---

(6)
ZnCdO2 | PBE-GGA | relaxed

Summary:
The value obtained for the calculated total energy is -16.98 eV per formula unit. The crystal system is orthorhombic. For the uncorrected formation energy, the calculation gives -117.6 kJ per mole of atoms.

Lattice parameters (Å, degrees): 5.9907 6.9865 5.5653 90.00 90.00 90.00
Sites, in units of the cell vectors:
Zn 0.0768 0.8736 0.0021
Zn 0.9232 0.1264 0.5021
Zn 0.4232 0.3736 0.5021
Zn 0.5768 0.6264 0.0021
O 0.3996 0.8579 0.1002
O 0.6004 0.1421 0.6002
O 0.1004 0.3579 0.6002
O 0.8996 0.6421 0.1002
O 0.0624 0.8923 0.6429
O 0.9376 0.1077 0.1429
O 0.4376 0.3923 0.1429
O 0.5624 0.6077 0.6429
Cd 0.0895 0.3768 0.0046
Cd 0.9105 0.6232 0.5046
Cd 0.4105 0.8768 0.5046
Cd 0.5895 0.1232 0.0046

---

(7)
BiPt3N | PBE-GGA | relaxed

Summary:
For the energy above the most stable polymorph in this dataset, the calculation gives 1742.6 meV/atom. The value obtained for the calculated total energy is -19.28 eV per formula unit. The crystal system is cubic. For the uncorrected formation energy, the calculation gives 213.1 kJ per mole of atoms.

Lattice parameters (Å, degrees): 5.1562 5.1562 5.1562 90.00 90.00 90.00
Last column: magnetic moment on the atom in μB.
Sites, in units of the cell vectors:
Bi 0.0000 0.0000 0.0000  -0.04
Pt 0.0000 0.5000 0.0000  -0.19
Pt 0.0000 0.0000 0.5000  -0.05
Pt 0.5000 0.0000 0.0000  -0.24
N 0.5000 0.5000 0.5000  1.76

---

(8)
NaV2S4 | PBE-GGA | relaxed

Summary:
For the energy above the most stable polymorph in this dataset, the calculation gives 11.3 meV/atom. The value obtained for the calculated total energy is -42.94 eV per formula unit. The crystal system is monoclinic. For the uncorrected formation energy, the calculation gives -94.7 kJ per mole of atoms.

Lattice parameters (Å, degrees): 3.3554 5.8449 7.0050 89.71 90.00 90.00
Last column: magnetic moment on the atom in μB.
Sites, in units of the cell vectors:
Na 0.5000 0.5645 0.5013  0.00
V 0.0000 0.0435 0.0074  1.30
V 0.5000 0.4848 0.0083  1.34
S 0.0000 0.6831 0.1925  -0.05
S 0.0000 0.3481 0.7916  -0.05
S 0.5000 0.1789 0.2226  -0.05
S 0.5000 0.8472 0.8264  -0.05

---

(9)
YGeW2 | PBE-GGA | relaxed

Summary:
The value obtained for the calculated total energy is -34.58 eV per formula unit. The crystal system is tetragonal.

Lattice parameters (Å, degrees): 4.0425 4.0425 10.3429 78.73 78.73 90.00
Sites, in units of the cell vectors:
Y 0.0000 0.0000 0.0000
Y 0.7500 0.2500 0.5000
Ge 0.5000 0.5000 0.0000
Ge 0.2500 0.7500 0.5000
W 0.1795 0.1250 0.2500
W 0.5705 0.6250 0.2500
W 0.3750 0.8205 0.7500
W 0.8750 0.4295 0.7500

---

(10)
Pu2NiAg | PBE-GGA | relaxed

Summary:
For the energy above the most stable polymorph in this dataset, the calculation gives 121.3 meV/atom. The value obtained for the calculated total energy is -36.80 eV per formula unit. The crystal system is tetragonal.

Lattice parameters (Å, degrees): 4.1132 4.5468 4.5468 90.00 90.00 90.00
Last column: magnetic moment on the atom in μB.
Sites, in units of the cell vectors:
Ni 0.5000 0.0000 0.0000  -0.07
Ag 0.5000 0.5000 0.5000  0.07
Pu 0.0000 0.0000 0.5000  5.49
Pu 0.0000 0.5000 0.0000  5.49

---

(11)
AlSiB2Te | PBE-GGA | relaxed

Summary:
The value obtained for the calculated total energy is -15.89 eV per formula unit. The crystal system is tetragonal. For the uncorrected formation energy, the calculation gives 188.6 kJ per mole of atoms.

Lattice parameters (Å, degrees): 4.3536 5.4446 4.3536 90.00 90.00 90.00
Sites, in units of the cell vectors:
Si 0.5000 0.5000 0.5000
Te 0.0000 0.0000 0.0000
Al 0.0000 0.5000 0.0000
B 0.0000 0.0000 0.5000
B 0.5000 0.0000 0.0000

---

(12)
Ca2PmNd | PBE-GGA | relaxed

Summary:
For the energy above the most stable polymorph in this dataset, the calculation gives 0.0 meV/atom. The value obtained for the calculated total energy is -13.37 eV per formula unit. The crystal system is trigonal.

Lattice parameters (Å, degrees): 3.7658 3.7658 12.6089 81.41 81.41 60.00
Sites, in units of the cell vectors:
Ca 0.8380 0.8380 0.4859
Ca 0.4171 0.4171 0.7487
Pm 0.9991 0.9991 0.0028
Nd 0.2568 0.2568 0.2296

---

(13)
CoSiTcW | PBE-GGA | relaxed

Summary:
The value obtained for the calculated total energy is -36.29 eV per formula unit. The crystal system is cubic. For the uncorrected formation energy, the calculation gives -10.7 kJ per mole of atoms.

Lattice parameters (Å, degrees): 4.2426 4.2426 4.2426 60.00 60.00 60.00
Last column: magnetic moment on the atom in μB.
Sites, in units of the cell vectors:
Si 0.2500 0.2500 0.2500  0.01
Co 0.5000 0.5000 0.5000  1.37
Tc 0.0000 0.0000 0.0000  0.10
W 0.7500 0.7500 0.7500  0.32

---

| no. | DOS at the Fermi energy (states/eV per atom) |
| --- | --- |
| 1 | 0.0000 |
| 2 | 0.1566 |
| 3 | 1.0099 |
| 4 | 0.6543 |
| 5 | 1.1501 |
| 6 | 0.0000 |
| 7 | 0.4036 |
| 8 | 0.4878 |
| 9 | 0.8696 |
| 10 | 3.7274 |
| 11 | 0.6910 |
| 12 | 1.2927 |
| 13 | 0.7064 |